# Ca2MgN2

A crystal of Ca2MgN2 relaxed with PBEsol (meta-GGA SCAN, the Alexandria database).

Its density is 2.8 g cm⁻³. For the size of the total moment, the calculation gives 0.000 μB/f.u. Its uncorrected formation energy is -451 kJ/mol of formula units. For the calculated total energy, the calculation gives -9.51 eV per atom.

The space group is P2_1/c (No. 14) and the conventional cell measures 6.246, 8.131 and 6.167 Å, with angles of 90.00, 97.37 and 90.00 degrees. The inequivalent atoms are Ca at (0.068, 0.133, 0.196), Ca at (0.334, 0.633, 0.947), Mg at (0.373, 0.113, 0.885), N at (0.270, 0.594, 0.559) and N at (0.279, 0.158, 0.548).

# Ca3MgN

A crystal of Ca3MgN relaxed with PBEsol (meta-GGA SCAN, the Alexandria database).

Its density is 2.2 g cm⁻³. The excess energy over the best structure of this formula in the dataset is 0.00 eV/f.u. For the size of the total moment, the calculation gives 0.004 μB/f.u. Its uncorrected formation energy is -244 kJ/mol of formula units. For the calculated total energy, the calculation gives -9.16 eV per atom.

The space group is Pm-3m (No. 221) and the conventional cell measures 4.955, 4.955 and 4.955 Å, with angles of 90.00, 90.00 and 90.00 degrees. The inequivalent atoms are Ca at (0.000, 0.000, 0.500), Mg at (0.500, 0.500, 0.500) and N at (0.000, 0.000, 0.000).

# CaMgRu2N

A crystal of CaMgRu2N relaxed with PBEsol (meta-GGA SCAN, the Alexandria database).

Its density is 6.4 g cm⁻³. For the size of the total moment, the calculation gives 0.000 μB/f.u. Its uncorrected formation energy is 16 kJ/mol of formula units. For the calculated total energy, the calculation gives -18.68 eV per atom.

The space group is P4/mmm (No. 123) and the conventional cell measures 4.109, 4.109 and 4.287 Å, with angles of 90.00, 90.00 and 90.00 degrees. The inequivalent atoms are Ca at (0.000, 0.000, 0.000), Mg at (0.500, 0.500, 0.000), Ru at (0.000, 0.500, 0.500) and N at (0.500, 0.500, 0.500).

# CaMg3Nb

A crystal of CaMg3Nb relaxed with PBEsol (meta-GGA SCAN, the Alexandria database).

Its density is 2.6 g cm⁻³. For the size of the total moment, the calculation gives 0.637 μB/f.u. For the calculated total energy, the calculation gives -9.85 eV per atom.

The space group is Pm-3m (No. 221) and the conventional cell measures 5.070, 5.070 and 5.070 Å, with angles of 90.00, 90.00 and 90.00 degrees. The inequivalent atoms are Ca at (0.000, 0.000, 0.000), Mg at (0.000, 0.000, 0.500) and Nb at (0.500, 0.500, 0.500).

# CaMg2NbO

A crystal of CaMg2NbO relaxed with PBEsol (meta-GGA SCAN, the Alexandria database).

Its density is 2.6 g cm⁻³. For the size of the total moment, the calculation gives 3.062 μB/f.u. Its uncorrected formation energy is 224 kJ/mol of formula units. For the calculated total energy, the calculation gives -11.33 eV per atom.

The space group is P4/mmm (No. 123) and the conventional cell measures 5.644, 5.644 and 3.925 Å, with angles of 90.00, 90.00 and 90.00 degrees. The inequivalent atoms are Ca at (0.000, 0.000, 0.000), Mg at (0.000, 0.500, 0.000), Nb at (0.500, 0.500, 0.500) and O at (0.000, 0.000, 0.500).

# CaMg2TiNb

A crystal of CaMg2TiNb relaxed with PBEsol (meta-GGA SCAN, the Alexandria database).

Its density is 3.0 g cm⁻³. For the size of the total moment, the calculation gives 0.000 μB/f.u. For the calculated total energy, the calculation gives -13.11 eV per atom.

The space group is P4/mmm (No. 123) and the conventional cell measures 5.355, 5.355 and 4.470 Å, with angles of 90.00, 90.00 and 90.00 degrees. The inequivalent atoms are Ca at (0.000, 0.000, 0.000), Mg at (0.000, 0.500, 0.500), Ti at (0.500, 0.500, 0.500) and Nb at (0.500, 0.500, 0.000).

# CaMgNi2

A crystal of CaMgNi2 relaxed with PBEsol (meta-GGA SCAN, the Alexandria database).

Its density is 4.7 g cm⁻³. For the size of the total moment, the calculation gives 0.003 μB/f.u. For the calculated total energy, the calculation gives -11.71 eV per atom.

The space group is P4/mmm (No. 123) and the conventional cell measures 3.215, 3.215 and 6.276 Å, with angles of 90.00, 90.00 and 90.00 degrees. The inequivalent atoms are Ca at (0.000, 0.000, 0.000), Mg at (0.000, 0.000, 0.500) and Ni at (0.500, 0.500, 0.297).

# Ca2MgNi9

A crystal of Ca2MgNi9 relaxed with PBEsol (meta-GGA SCAN, the Alexandria database).

Its density is 6.6 g cm⁻³. For the size of the total moment, the calculation gives 3.587 μB/f.u. For the calculated total energy, the calculation gives -14.23 eV per atom.

The space group is R-3m (No. 166, hexagonal axes) and the conventional cell measures 4.8081, 4.8081 and 23.9289 Å, with angles of 90.00, 90.00 and 120.00 degrees. The inequivalent atoms are Ca at (0.0000, 0.0000, 0.1391), Mg at (0.0000, 0.0000, 0.0000), Ni at (0.0000, 0.0000, 0.3327), Ni at (0.0000, 0.0000, 0.5000) and Ni at (0.0011, 0.5005, 0.0803).